DFT (GGA-PBE) results for crystalline MnSbBr2 at its relaxed geometry.

Unit cell a=5.637 b=5.637 c=4.878 alpha=112.87 beta=112.87 gamma=108.81
Fractional coordinates of all 4 atoms:
Mn 0.000 0.000 0.000
Sb 0.500 0.500 0.000
Br 0.000 0.500 0.500
Br 0.500 0.000 0.500

Results
Crystal system: monoclinic
Formation energy without anion corrections (eV/atom): 0.1112
Space group: No. 12
DOS(E_F) (states/eV/f.u.): 1.7
Offset from the most stable computed form (eV/atom): 0.364
Raw total energy (eV/atom): -4.0482